## HfHg (PBE)

Data for crystalline HfHg at its relaxed geometry.

Output
* ρ: 12.4 Mg/m³
* total energy: -4.796 eV per atom

Geometry as extended XYZ:
```
12
Lattice="-1.091 -1.450 -4.663 -4.782 -1.541 1.599 -4.153 10.506 -2.295" Properties=species:S:1:pos:R:3 pbc="T T T"
Hf -2.529 3.592 -0.525
Hf -4.875 -0.605 -1.355
Hf -4.695 3.860 -2.786
Hg -5.608 4.115 0.033
Hf -2.710 -0.873 0.906
Hg -4.358 1.520 0.547
Hg -1.797 -1.128 -1.913
Hg -5.097 6.656 -3.561
Hg -6.460 6.838 -0.614
Hf -3.592 6.280 -1.112
Hg -3.046 1.467 -2.427
Hf -7.965 7.213 -3.063
```